(1)
First-principles (PBE) data for an optimized crystal structure of LaPmSiH, as listed in Alexandria via LeMat-Bulk.

The structure in extended XYZ format:
```
16
Lattice="7.061 0.000 0.000 0.000 7.061 0.000 0.000 0.000 7.061" Properties=species:S:1:pos:R:3 pbc="T T T"
La 0.000 0.000 0.000
La 0.000 3.530 3.530
La 3.530 0.000 3.530
La 3.530 3.530 0.000
Pm 0.000 0.000 3.530
Pm 0.000 3.530 0.000
Pm 3.530 0.000 0.000
Pm 3.530 3.530 3.530
Si 1.765 1.765 1.765
Si 1.765 5.296 5.296
Si 5.296 1.765 5.296
Si 5.296 5.296 1.765
H 1.765 1.765 5.296
H 1.765 5.296 1.765
H 5.296 1.765 1.765
H 5.296 5.296 5.296
```

Computed properties:
Its theoretical density is 5.906 g/cm³. The value obtained for the total energy is -5.01 eV/atom.

(2)
First-principles (PBE) data for an optimized crystal structure of La2PmSmH, as listed in Alexandria via LeMat-Bulk.

The structure in extended XYZ format:
```
5
Lattice="5.236 0.000 0.000 0.000 5.236 0.000 0.000 0.000 5.164" Properties=species:S:1:pos:R:3 pbc="T T T"
La 0.000 2.618 0.000
La 2.618 0.000 0.000
Pm 0.000 0.000 2.582
Sm 2.618 2.618 2.582
H 2.618 2.618 0.000
```

Computed properties:
Its theoretical density is 6.736 g/cm³. The value obtained for the total energy is -4.71 eV/atom.

- Which of these has the lowest theoretical density?
  LaPmSiH

- What is the total energy in the first record?
  -5.01 eV/atom

- theoretical density of number 2 (La2PmSmH)?
  6.736 g/cm³